A plane-wave DFT calculation with GGA-PBE was carried out for a relaxed AcErAlPd crystal.

Cell: 5.277 5.277 5.277 Å, 60.00 60.00 60.00°
Fractional positions:
Ac (0.750, 0.750, 0.750)
Al (0.500, 0.500, 0.500)
Pd (0.000, 0.000, 0.000)
Er (0.250, 0.250, 0.250)

**Formation energy**: -433 meV per atom
**SG**: F-43m
**Total magnetization**: 0.000 μB/atom



A plane-wave DFT calculation with GGA-PBE was carried out for a relaxed CdAsRu2 crystal.

Cell: 6.596 3.991 4.337 Å, 138.28 118.89 66.16°
Fractional positions:
Ru (0.551, 0.563, 0.097)
Ru (0.949, 0.937, 0.903)
As (0.750, 0.250, 0.500)
Cd (0.250, 0.750, 0.500)

**Formation energy**: 154 meV per atom
**SG**: P-1
**Total magnetization**: 0.000 μB/atom



A plane-wave DFT calculation with GGA-PBE was carried out for a relaxed AcPmPSe crystal.

Cell: 5.239 5.239 5.239 Å, 60.00 60.00 60.00°
Fractional positions:
Pm (0.750, 0.750, 0.750)
P (0.000, 0.000, 0.000)
Se (0.500, 0.500, 0.500)
Ac (0.250, 0.250, 0.250)

**SG**: F-43m
**Uncorrected formation energy**: -1.378 eV per atom
**Total magnetization**: 0.007 μB/atom



A plane-wave DFT calculation with GGA-PBE was carried out for a relaxed CaAg2Cl crystal.

Cell: 5.138 5.138 5.138 Å, 60.00 60.00 60.00°
Fractional positions:
Ca (0.500, 0.500, 0.500)
Ag (0.250, 0.250, 0.250)
Ag (0.750, 0.750, 0.750)
Cl (0.000, 0.000, 0.000)

**SG**: Fm-3m
**Uncorrected formation energy**: -0.104 eV per atom
**Total magnetization**: 0.000 μB/atom



Copy entry 1 word for word.
A plane-wave DFT calculation with GGA-PBE was carried out for a relaxed AcErAlPd crystal.

Cell: 5.277 5.277 5.277 Å, 60.00 60.00 60.00°
Fractional positions:
Ac (0.750, 0.750, 0.750)
Al (0.500, 0.500, 0.500)
Pd (0.000, 0.000, 0.000)
Er (0.250, 0.250, 0.250)

**Formation energy**: -433 meV per atom
**SG**: F-43m
**Total magnetization**: 0.000 μB/atom